This record from Alexandria via LeMat-Bulk describes an optimized crystal structure of CoP2AuO. The functional is PBE with a Hubbard U.

The structure in POSCAR format:
```
CoP2AuO
1.0
-0.953 4.285 -2.133
-3.935 -1.940 -2.139
-2.199 1.051 3.093
Co Au O P
1 1 1 2
Cartesian
-3.543 1.698 -0.590 Co
0.000 0.000 0.000 Au
-1.099 0.525 1.546 O
-1.968 -0.970 -1.069 P
-0.476 2.143 -1.067 P
```

## Properties
The calculation puts the density of states at the Fermi level at 3.82 states/eV/cell. For the total energy, the calculation gives -3.7328 eV per atom. For the magnetization, the calculation gives 2.67 μB/f.u. As for the symmetry: P4/mmm. The energy above the most stable polymorph in this dataset comes out at 0.8108 eV per atom.